Density functional theory data (PBE) for AsPPtBr2 after structural relaxation.

formation energy (no corrections) = 91 kJ per mole of atoms
space group = P4/mmm
distance to the lowest polymorph of the same formula = 189.0 meV/atom
M_tot = 0.55 μB/f.u.

Lattice parameters (Å, degrees): 4.7945 4.7945 5.1626 90.00 90.00 90.00
Closest atoms and distances in Å follow each position.
Fractional positions:
As1 0.0000 0.0000 0.0000  2 P 2.58
P1 0.0000 0.0000 0.5000  4 Br 2.40, 2 As 2.58
Pt1 0.5000 0.5000 0.0000  4 As 3.39, 8 Br 3.52
Br1 0.0000 0.5000 0.5000  2 P 2.40
Br2 0.5000 0.0000 0.5000  2 P 2.40